{"formula": "NaTcF6", "functional": "PBE-GGA", "state": "optimized geometry", "crystal_system": "triclinic", "vol_a3_per_cell": 125.7, "magmom_total_mub_per_cell": 2.00, "final_energy_ev_per_cell": -41.36, "lattice_angstrom": [[5.383, 0.000, 0.000], [2.690, 4.667, 0.000], [2.687, 1.553, 5.005]], "species": ["Na", "Tc", "F", "F", "F", "F", "F", "F"], "fractional_positions": [[0.000, 0.000, 0.000], [0.500, 0.500, 0.500], [0.151, 0.725, 0.721], [0.276, 0.596, 0.278], [0.403, 0.151, 0.722], [0.597, 0.849, 0.278], [0.724, 0.404, 0.722], [0.849, 0.275, 0.279]]}